(1)
{
  "formula": "FeIrPtRh",
  "functional": "PBE",
  "state": "relaxed",
  "cell": [[-1.285, -2.854, -2.197], [-1.538, -1.688, 3.093], [-3.305, 1.939, -0.586]],
  "species": ["Fe", "Ir", "Pt", "Rh"],
  "fractional_positions": [[0.000, 0.500, 0.500], [0.500, 0.000, 0.500], [0.000, 0.000, 0.000], [0.500, 0.500, 0.000]],
  "spacegroup": "Pmmm",
  "total_magnetization_mub_per_atom": 0.961,
  "volume_a3_per_atom": 14.25,
  "final_energy_ev_per_cell": -31.127
}

(2)
{
  "formula": "LiAg2Br4",
  "functional": "PBE",
  "state": "relaxed",
  "cell": [[-5.802, 5.595, 1.884], [-7.456, -0.612, -2.959], [-5.891, -1.736, 5.197]],
  "species": ["Li", "Li", "Ag", "Ag", "Ag", "Ag", "Br", "Br", "Br", "Br", "Br", "Br", "Br", "Br"],
  "fractional_positions": [[0.000, 0.500, 0.000], [0.500, 0.500, 0.000], [0.138, 0.112, 0.612], [0.500, 0.000, 0.000], [0.500, 0.500, 0.500], [0.862, 0.888, 0.388], [0.258, 0.268, 0.216], [0.258, 0.716, 0.768], [0.256, 0.256, 0.756], [0.732, 0.256, 0.756], [0.268, 0.744, 0.244], [0.742, 0.284, 0.232], [0.744, 0.744, 0.244], [0.742, 0.732, 0.784]],
  "spacegroup": "Imma",
  "total_magnetization_mub_per_atom": 0.000,
  "volume_a3_per_atom": 27.15,
  "e_form_raw_kj_per_mol_atoms": -59.1
}

(3)
{
  "formula": "Tb6Ho2Tm3In",
  "functional": "PBE",
  "state": "relaxed",
  "cell": [[6.071, -0.003, 0.006], [-3.037, 5.257, 0.006], [-1.027, -1.778, 11.399]],
  "species": ["Tb", "Tb", "Tb", "Tb", "Tb", "Tb", "Ho", "Ho", "Tm", "Tm", "Tm", "In"],
  "fractional_positions": [[0.917, 0.588, 0.751], [0.754, 0.754, 0.250], [0.083, 0.412, 0.249], [0.588, 0.917, 0.751], [0.246, 0.246, 0.750], [0.412, 0.083, 0.249], [0.334, 0.666, 0.000], [0.666, 0.334, 0.000], [0.167, 0.833, 0.500], [0.833, 0.167, 0.500], [0.500, 0.500, 0.500], [0.000, 0.000, 0.000]],
  "spacegroup": "C2/m",
  "total_magnetization_mub_per_atom": 0.000,
  "volume_a3_per_atom": 30.32,
  "final_energy_ev_per_cell": -53.580
}

(4)
{
  "formula": "Li2CdSe",
  "functional": "PBE",
  "state": "relaxed",
  "cell": [[4.891, 0.000, 0.000], [2.446, 4.236, 0.000], [2.446, 1.412, 3.994]],
  "species": ["Cd", "Li", "Li", "Se"],
  "fractional_positions": [[0.500, 0.500, 0.500], [0.000, 0.000, 0.000], [0.250, 0.250, 0.250], [0.750, 0.750, 0.750]],
  "spacegroup": "F-43m",
  "total_magnetization_mub_per_atom": 0.000,
  "volume_a3_per_atom": 20.69,
  "e_form_raw_kj_per_mol_atoms": -35.2
}

(5)
{
  "formula": "LiZr2Rh",
  "functional": "PBE",
  "state": "relaxed",
  "cell": [[4.625, 0.000, 0.009], [0.000, 4.625, 0.009], [-0.006, -0.006, 3.364]],
  "species": ["Li", "Rh", "Zr", "Zr"],
  "fractional_positions": [[0.500, 0.000, 0.500], [0.000, 0.500, 0.500], [0.000, 0.000, 0.000], [0.500, 0.500, 0.000]],
  "spacegroup": "P4/mmm",
  "total_magnetization_mub_per_atom": 0.000,
  "volume_a3_per_atom": 17.99,
  "final_energy_ev_per_cell": -27.652
}

(6)
{
  "formula": "In3CuBr",
  "functional": "PBE",
  "state": "relaxed",
  "cell": [[-3.165, -2.388, 3.345], [0.850, -4.510, -2.416], [4.021, -0.926, 3.143]],
  "species": ["Cu", "Br", "In", "In", "In"],
  "fractional_positions": [[0.000, 0.000, 0.000], [0.500, 0.500, 0.500], [0.000, 0.500, 0.000], [0.000, 0.000, 0.500], [0.500, 0.000, 0.000]],
  "spacegroup": "Pm-3m",
  "total_magnetization_mub_per_atom": 0.000,
  "volume_a3_per_atom": 27.91,
  "e_form_raw_kj_per_mol_atoms": -13.7
}

(7)
{
  "formula": "BaAs3",
  "functional": "PBE",
  "state": "relaxed",
  "cell": [[-4.101, 1.217, 1.380], [1.131, -4.348, -0.122], [2.231, 0.404, 6.274]],
  "species": ["As", "As", "As", "Ba"],
  "fractional_positions": [[0.000, 0.000, 0.060], [0.000, 0.000, 0.440], [0.667, 0.333, 0.250], [0.667, 0.333, 0.750]],
  "spacegroup": "P-6m2",
  "total_magnetization_mub_per_atom": 0.000,
  "volume_a3_per_atom": 29.18,
  "final_energy_ev_per_cell": -16.788
}

(8)
{
  "formula": "SrPb2Br",
  "functional": "PBE",
  "state": "relaxed",
  "cell": [[-0.459, 6.812, -1.057], [-2.128, 0.466, 3.927], [3.929, 0.597, 2.139]],
  "species": ["Pb", "Pb", "Sr", "Br"],
  "fractional_positions": [[0.000, 0.009, 0.010], [0.000, 0.491, 0.490], [0.500, 0.250, 0.250], [0.500, 0.750, 0.750]],
  "spacegroup": "P2/m",
  "total_magnetization_mub_per_atom": 0.000,
  "volume_a3_per_atom": 35.00,
  "e_form_raw_kj_per_mol_atoms": -63.5
}

(9)
{
  "formula": "DyUPa",
  "functional": "PBE",
  "state": "relaxed",
  "cell": [[4.735, 0.000, 0.000], [0.000, 5.297, 0.357], [-2.368, -0.661, 6.262]],
  "species": ["U", "U", "Dy", "Dy", "Pa", "Pa"],
  "fractional_positions": [[0.744, 0.217, 0.489], [0.256, 0.783, 0.511], [0.575, 0.757, 0.151], [0.425, 0.243, 0.849], [0.853, 0.683, 0.705], [0.147, 0.317, 0.295]],
  "spacegroup": "C2/m",
  "total_magnetization_mub_per_atom": 0.193,
  "volume_a3_per_atom": 26.36,
  "final_energy_ev_per_cell": -48.809
}

(10)
{
  "formula": "NaAlGe3",
  "functional": "PBE",
  "state": "relaxed",
  "cell": [[4.970, 0.000, 0.000], [0.000, 4.970, 0.000], [0.000, 0.000, 4.970]],
  "species": ["Na", "Ge", "Ge", "Ge", "Al"],
  "fractional_positions": [[0.500, 0.500, 0.500], [0.000, 0.500, 0.000], [0.000, 0.000, 0.500], [0.500, 0.000, 0.000], [0.000, 0.000, 0.000]],
  "spacegroup": "Pm-3m",
  "total_magnetization_mub_per_atom": 0.000,
  "volume_a3_per_atom": 24.56,
  "final_energy_ev_per_cell": -17.085
}

(11)
{
  "formula": "LaCe4Th3Se8",
  "functional": "PBE",
  "state": "relaxed",
  "cell": [[8.404, 0.000, 0.000], [0.000, 8.449, 0.025], [-4.202, -4.198, 5.946]],
  "species": ["La", "Ce", "Ce", "Ce", "Ce", "Th", "Th", "Th", "Se", "Se", "Se", "Se", "Se", "Se", "Se", "Se"],
  "fractional_positions": [[0.000, 0.500, 0.000], [0.500, 0.000, 0.000], [0.500, 0.000, 0.500], [0.000, 0.000, 0.000], [0.000, 0.000, 0.500], [0.500, 0.500, 0.000], [0.500, 0.500, 0.500], [0.000, 0.500, 0.500], [0.252, 0.754, 0.001], [0.252, 0.754, 0.505], [0.249, 0.247, 0.498], [0.749, 0.754, 0.001], [0.251, 0.246, 0.999], [0.751, 0.753, 0.502], [0.748, 0.246, 0.495], [0.748, 0.246, 0.999]],
  "spacegroup": "R-3m",
  "total_magnetization_mub_per_atom": 0.218,
  "volume_a3_per_atom": 26.44,
  "e_form_raw_kj_per_mol_atoms": -167.9
}

- What is the formula in the second record?
  LiAg2Br4